*w*
Material: SrIn2I6
Method: DFT, PBE-GGA
State: relaxed

Cell: 5.5192 7.9040 11.5819 Å, 90.97 90.00 110.43°
Closest atoms and distances in Å follow each position.
Fractional coordinates of all 9 atoms:
I 0.6331 0.2663 0.5587  1 In 3.04
In 0.7219 0.4438 0.7972  4 I 2.91-3.04
In 0.2781 0.5562 0.2028  4 I 2.91-3.04
I 0.0847 0.1694 0.2426  1 In 2.91, 1 Sr 3.25
I 0.1838 0.3676 0.8675  2 In 2.93
I 0.3669 0.7337 0.4413  1 In 3.04
Sr 0.0000 0.0000 0.5000  6 I 3.25-3.45
I 0.8162 0.6324 0.1325  2 In 2.93
I 0.9153 0.8306 0.7574  1 In 2.91, 1 Sr 3.25

Calculated values
- Magnetic moment: 0.00 μB per atom
- DOS(E_F): 2.571 states/eV/f.u.

---

*x*
Material: SrIn2I6
Method: DFT, PBE-GGA
State: relaxed

Cell: 8.6457 8.6457 10.2534 Å, 65.06 65.06 60.00°
Closest atoms and distances in Å follow each position.
Fractional coordinates of all 9 atoms:
I 0.4192 0.4177 0.2695  1 In 2.82
In 0.2822 0.2822 0.1534  1 In 2.76, 3 I 2.82
I 0.5947 0.6020 0.7299  1 In 2.82
I 0.8937 0.4192 0.2695  1 In 2.82
In 0.3848 0.3848 0.8457  1 In 2.76, 3 I 2.82
I 0.0734 0.5947 0.7299  1 In 2.82
I 0.4177 0.8937 0.2695  1 In 2.82
I 0.6020 0.0734 0.7299  1 In 2.82
Sr 0.6667 0.6667 0.9998  6 I 3.39

Calculated values
- Magnetic moment: 0.00 μB per atom
- DOS(E_F): 0.000 states/eV/f.u.

---

Relative to the most stable structure, the computed energies are *w* 52; *x* 0, all in meV per atom.

---

*w*
Material: TaIn3I
Method: DFT, PBE-GGA
State: relaxed

Cell: 5.6354 5.6354 5.6354 Å, 90.00 90.00 90.00°
Closest atoms and distances in Å follow each position.
Fractional coordinates of all 5 atoms:
In 0.0000 0.5000 0.0000  2 Ta 2.82
I 0.5000 0.5000 0.5000  12 In 3.98
In 0.0000 0.0000 0.5000  2 Ta 2.82
In 0.5000 0.0000 0.0000  2 Ta 2.82
Ta 0.0000 0.0000 0.0000  6 In 2.82

Calculated values
- Magnetic moment: 0.74 μB per atom
- DOS(E_F): 5.258 states/eV/f.u.

---

*x*
Material: TaIn3I
Method: DFT, PBE-GGA
State: relaxed

Cell: 6.0058 6.0058 6.0058 Å, 90.00 90.00 90.00°
Closest atoms and distances in Å follow each position.
Fractional coordinates of all 5 atoms:
In 0.0000 0.0000 0.5000  2 I 3.00
I 0.0000 0.0000 0.0000  6 In 3.00
In 0.0000 0.5000 0.0000  2 I 3.00
In 0.5000 0.0000 0.0000  2 I 3.00
Ta 0.5000 0.5000 0.5000  12 In 4.25

Calculated values
- Magnetic moment: 0.72 μB per atom
- DOS(E_F): 8.068 states/eV/f.u.

---

Relative to the most stable structure, the computed energies are *w* 0; *x* 989, all in meV per atom.

---

*w*
Material: Ta2InI
Method: DFT, PBE-GGA
State: relaxed

Cell: 4.2467 4.2467 10.6258 Å, 78.47 78.47 90.00°
Closest atoms and distances in Å follow each position.
Fractional coordinates of all 8 atoms:
In 0.2500 0.7500 0.5000  4 Ta 2.94, 4 I 3.00
I 0.7500 0.2500 0.5000  4 Ta 2.98, 4 In 3.00
Ta 0.8750 0.8619 0.7500  4 Ta 2.93-3.08, 2 In 2.94, 2 I 2.98
Ta 0.6119 0.1250 0.2500  4 Ta 2.93-3.08, 2 In 2.94, 2 I 2.98
I 0.0000 0.0000 0.0000  4 Ta 2.98, 4 In 3.00
Ta 0.1381 0.6250 0.2500  4 Ta 2.93-3.08, 2 In 2.94, 2 I 2.98
In 0.5000 0.5000 0.0000  4 Ta 2.94, 4 I 3.00
Ta 0.3750 0.3881 0.7500  4 Ta 2.93-3.08, 2 In 2.94, 2 I 2.98

Calculated values
- Magnetic moment: 0.00 μB per atom
- DOS(E_F): 2.696 states/eV/f.u.

---

*x*
Material: Ta2InI
Method: DFT, PBE-GGA
State: relaxed

Cell: 4.8536 4.8536 4.8536 Å, 60.00 60.00 60.00°
Closest atoms and distances in Å follow each position.
Fractional coordinates of all 4 atoms:
In 0.0000 0.0000 0.0000  8 Ta 2.97
Ta 0.7500 0.7500 0.7500  4 I 2.97, 4 In 2.97
Ta 0.2500 0.2500 0.2500  4 I 2.97, 4 In 2.97
I 0.5000 0.5000 0.5000  8 Ta 2.97

Calculated values
- Magnetic moment: 0.00 μB per atom
- DOS(E_F): 1.685 states/eV/f.u.

---

Relative to the most stable structure, the computed energies are *w* 168; *x* 0, all in meV per atom.

---

*w*
Material: InTc2I
Method: DFT, PBE-GGA
State: relaxed

Cell: 4.6494 4.6494 4.6494 Å, 60.00 60.00 60.00°
Closest atoms and distances in Å follow each position.
Fractional coordinates of all 4 atoms:
In 0.0000 0.0000 0.0000  8 Tc 2.85
Tc 0.2500 0.2500 0.2500  4 I 2.85, 4 In 2.85
Tc 0.7500 0.7500 0.7500  4 I 2.85, 4 In 2.85
I 0.5000 0.5000 0.5000  8 Tc 2.85

Calculated values
- Magnetic moment: 0.00 μB per atom
- DOS(E_F): 2.825 states/eV/f.u.

---

*x*
Material: InTc2I
Method: DFT, PBE-GGA
State: relaxed

Cell: 7.4258 7.4258 6.0663 Å, 52.26 52.26 90.00°
Closest atoms and distances in Å follow each position.
Fractional coordinates of all 8 atoms:
I 0.0000 0.0000 0.0000  4 Tc 2.51
I 0.7500 0.2500 0.5000  4 Tc 2.51
Tc 0.8750 0.9213 0.7500  2 I 2.51
In 0.5000 0.5000 0.0000  8 Tc 2.98-3.31, 2 I 3.04
Tc 0.3750 0.3287 0.7500  2 I 2.51
In 0.2500 0.7500 0.5000  8 Tc 2.98-3.31, 2 I 3.04
Tc 0.6713 0.1250 0.2500  2 I 2.51
Tc 0.0787 0.6250 0.2500  2 I 2.51

Calculated values
- Magnetic moment: 0.00 μB per atom
- DOS(E_F): 1.676 states/eV/f.u.

---

Relative to the most stable structure, the computed energies are *w* 0; *x* 476, all in meV per atom.